<a>
First-principles (GGA-PBE) data for crystalline Ac2Pm3Si4 at its relaxed geometry, as listed in the Alexandria database.

a = 9.105 Å, b = 9.105 Å, c = 8.477 Å
α = 90.00°, β = 90.00°, γ = 133.20°
Positions (direct):
Ac 0.108 0.892 0.914
Ac 0.392 0.608 0.414
Ac 0.608 0.392 0.586
Ac 0.892 0.108 0.086
Pm 0.000 0.000 0.500
Pm 0.043 0.457 0.750
Pm 0.457 0.043 0.250
Pm 0.500 0.500 0.000
Pm 0.543 0.957 0.750
Pm 0.957 0.543 0.250
Si 0.191 0.809 0.553
Si 0.218 0.282 0.750
Si 0.282 0.218 0.250
Si 0.309 0.691 0.053
Si 0.691 0.309 0.947
Si 0.718 0.782 0.750
Si 0.782 0.718 0.250
Si 0.809 0.191 0.447

Results
* DOS(E_F): 10.3 states/eV/cell
* SG: Cmce
* calculated volume: 28.46 A^3/atom
* total magnetic moment: 0.0 μB per cell

<b>
First-principles (GGA-PBE) data for crystalline Ac2Pm3Si4 at its relaxed geometry, as listed in the Alexandria database.

a = 8.040 Å, b = 8.116 Å, c = 7.884 Å
α = 90.00°, β = 106.20°, γ = 90.00°
Positions (direct):
Ac 0.199 0.177 0.087
Ac 0.199 0.323 0.587
Ac 0.801 0.677 0.413
Ac 0.801 0.823 0.913
Pm 0.245 0.682 0.256
Pm 0.245 0.818 0.756
Pm 0.500 0.000 0.500
Pm 0.500 0.500 0.000
Pm 0.755 0.182 0.244
Pm 0.755 0.318 0.744
Si 0.080 0.530 0.888
Si 0.080 0.970 0.388
Si 0.497 0.116 0.879
Si 0.497 0.384 0.379
Si 0.503 0.616 0.621
Si 0.503 0.884 0.121
Si 0.920 0.030 0.612
Si 0.920 0.470 0.112

Results
* DOS(E_F): 18.6 states/eV/cell
* SG: P2_1/c
* calculated volume: 27.44 A^3/atom
* total magnetic moment: 0.0 μB per cell

<b> wins, 0.155 eV/atom ahead of the next structure.